1.
A plane-wave DFT calculation with PBE was carried out for an optimized crystal structure of Pm6SmDySc2.

The structure in POSCAR format:
```
Pm6SmDySc2
1.0
9.118 -1.958 -2.032
0.747 8.507 -1.942
0.747 -2.256 8.429
Sm Pm Sc Dy
2 12 4 2
Direct
0.750 0.031 0.969 Sm
0.250 0.969 0.031 Sm
0.946 0.891 0.239 Pm
0.819 0.442 0.989 Pm
0.319 0.989 0.442 Pm
0.681 0.011 0.558 Pm
0.118 0.700 0.491 Pm
0.554 0.761 0.109 Pm
0.181 0.558 0.011 Pm
0.382 0.509 0.300 Pm
0.882 0.300 0.509 Pm
0.054 0.109 0.761 Pm
0.446 0.239 0.891 Pm
0.618 0.491 0.700 Pm
0.550 0.199 0.297 Sc
0.050 0.297 0.199 Sc
0.950 0.703 0.801 Sc
0.450 0.801 0.703 Sc
0.750 0.592 0.408 Dy
0.250 0.408 0.592 Dy
```

## Properties
SG   No. 15
Calculated formation energy   0.1240 eV per atom

***

2.
A plane-wave DFT calculation with PBE was carried out for an optimized crystal structure of BeVAu.

The structure in POSCAR format:
```
BeVAu
1.0
-2.428 -1.401 1.994
1.465 -3.085 -0.387
4.227 3.360 4.532
Au V Be
2 2 2
Direct
0.212 0.289 0.951 Au
0.856 0.934 0.242 Au
0.534 0.112 0.596 V
0.034 0.612 0.596 V
0.673 0.751 0.874 Be
0.394 0.472 0.318 Be
```

## Properties
SG   No. 12
Calculated formation energy   -0.0886 eV per atom

***

3.
A plane-wave DFT calculation with PBE was carried out for an optimized crystal structure of Ho4AlTlCd2.

The structure in POSCAR format:
```
Ho4AlTlCd2
1.0
5.232 0.000 0.000
2.616 4.531 0.000
2.616 1.510 8.575
Ho Cd Tl Al
4 2 1 1
Direct
0.872 0.872 0.383 Ho
0.622 0.622 0.134 Ho
0.378 0.378 0.866 Ho
0.128 0.128 0.617 Ho
0.249 0.249 0.253 Cd
0.751 0.751 0.747 Cd
0.000 0.000 0.000 Tl
0.500 0.500 0.500 Al
```

## Properties
SG   No. 166
Calculated formation energy   -0.3426 eV per atom

***

4.
A plane-wave DFT calculation with PBE was carried out for an optimized crystal structure of CeHgF.

The structure in POSCAR format:
```
CeHgF
1.0
-1.547 -3.111 -1.243
2.573 -0.146 2.641
-9.803 1.037 9.608
F Ce Hg
2 2 2
Direct
0.611 0.222 0.730 F
0.611 0.222 0.270 F
0.278 0.556 0.179 Ce
0.278 0.556 0.821 Ce
0.277 0.555 0.500 Hg
0.611 0.223 0.000 Hg
```

## Properties
Formation energy from raw total energies   -1.62 eV/atom
SG   No. 187

***

5.
A plane-wave DFT calculation with PBE was carried out for an optimized crystal structure of Pr3GaNi4.

The structure in POSCAR format:
```
Pr3GaNi4
1.0
4.138 0.000 0.000
0.000 5.716 -0.648
-2.069 -2.038 7.532
Ni Pr Ga
4 3 1
Direct
0.382 0.178 0.764 Ni
0.382 0.586 0.764 Ni
0.618 0.414 0.236 Ni
0.618 0.822 0.236 Ni
0.000 0.500 0.000 Pr
0.189 0.189 0.377 Pr
0.811 0.811 0.623 Pr
0.500 0.000 0.000 Ga
```

## Properties
SG   No. 71
Calculated formation energy   -0.2688 eV per atom

***

6.
A plane-wave DFT calculation with PBE was carried out for an optimized crystal structure of Sm2Ga6Ir9.

The structure in POSCAR format:
```
Sm2Ga6Ir9
1.0
5.545 0.000 0.000
-2.773 4.802 0.000
0.000 0.000 11.881
Ga Ir Sm
6 9 2
Direct
0.667 0.333 0.335 Ga
0.667 0.333 0.000 Ga
0.333 0.667 0.665 Ga
0.333 0.667 0.335 Ga
0.667 0.333 0.665 Ga
0.333 0.667 0.000 Ga
0.500 0.000 0.831 Ir
0.000 0.500 0.500 Ir
0.500 0.000 0.500 Ir
0.500 0.500 0.169 Ir
0.000 0.500 0.169 Ir
0.500 0.500 0.500 Ir
0.500 0.500 0.831 Ir
0.500 0.000 0.169 Ir
0.000 0.500 0.831 Ir
0.000 0.000 0.700 Sm
0.000 0.000 0.300 Sm
```

## Properties
SG   No. 191
Calculated formation energy   -0.3943 eV per atom